# 1
Entry from the Alexandria database: a geometry-optimized CaLuAlHg structure (PBE-GGA).

a b c (Å): 7.345 7.345 7.345
angles (deg): 90.00 90.00 90.00
Space group F-43m (No. 216)
Inequivalent atoms, fractional coordinates:
Ca (0.000, 0.000, 0.000) x4
Lu (0.000, 0.000, 0.500) x4
Al (0.250, 0.250, 0.250) x4
Hg (0.250, 0.250, 0.750) x4

For the volume, the calculation gives 24.76 Å³/atom. For the formation energy from the elements, the calculation gives -0.362 eV/atom. Its magnetization is 0.00 μB/atom.



# 2
Entry from the Alexandria database: a geometry-optimized AlP2SeCl structure (PBE-GGA).

a b c (Å): 4.799 4.799 4.430
angles (deg): 90.00 90.00 90.00
Space group P4/mmm (No. 123)
Inequivalent atoms, fractional coordinates:
Al (0.000, 0.000, 0.000) x1
P (0.000, 0.500, 0.000) x2
Se (0.500, 0.500, 0.500) x1
Cl (0.000, 0.000, 0.500) x1

As for the formation energy from raw total energies: 0.380 eV per atom. For the volume, the calculation gives 20.40 Å³/atom. Its magnetization is 0.03 μB/atom.



# 3
Entry from the Alexandria database: a geometry-optimized MnTl2P structure (PBE-GGA).

a b c (Å): 4.164 4.164 10.648
angles (deg): 90.00 90.00 90.00
Space group I4/mmm (No. 139)
Inequivalent atoms, fractional coordinates:
Mn (0.000, 0.000, 0.000) x2
Tl (0.000, 0.500, 0.250) x4
P (0.000, 0.000, 0.500) x2

For the volume, the calculation gives 23.08 Å³/atom. For the formation energy from the elements, the calculation gives 0.519 eV/atom. Its magnetization is 1.08 μB/atom.



# 4
Entry from the Alexandria database: a geometry-optimized Sm2DyTm8 structure (PBE-GGA).

a b c (Å): 8.989 15.953 5.821
angles (deg): 90.00 123.72 90.00
Space group C2/m (No. 12)
Inequivalent atoms, fractional coordinates:
Sm (0.000, 0.193, 0.000) x4
Dy (0.000, 0.500, 0.500) x2
Tm (0.000, 0.293, 0.500) x4
Tm (0.066, 0.000, 0.295) x4
Tm (0.215, 0.382, 0.178) x8

For the volume, the calculation gives 31.56 Å³/atom. For the formation energy from the elements, the calculation gives 0.164 eV/atom. Its magnetization is 0.00 μB/atom.



# 5
Entry from the Alexandria database: a geometry-optimized Rb2CuIr structure (PBE-GGA).

a b c (Å): 11.800 11.800 20.300
angles (deg): 90.00 90.00 90.00
Space group I-42d (No. 122)
Inequivalent atoms, fractional coordinates:
Rb (0.249, 0.250, 0.125) x8
Cu (0.000, 0.000, 0.500) x4
Ir (0.000, 0.000, 0.000) x4

For the volume, the calculation gives 176.65 Å³/atom. For the formation energy from the elements, the calculation gives 1.946 eV/atom. Its magnetization is 0.50 μB/atom.



# 6
Entry from the Alexandria database: a geometry-optimized Er2MgTa structure (PBE-GGA).

a b c (Å): 3.1294 3.1294 35.2973
angles (deg): 90.00 90.00 120.00
Space group R-3m (No. 166, hexagonal axes)
Inequivalent atoms, fractional coordinates:
Er (0.0000, 0.0000, 0.0842) x6
Mg (0.0000, 0.0000, 0.5000) x3
Ta (0.0000, 0.0000, 0.0000) x3

For the volume, the calculation gives 24.95 Å³/atom. For the formation energy from the elements, the calculation gives 0.557 eV/atom. Its magnetization is 0.01 μB/atom.



# 7
Entry from the Alexandria database: a geometry-optimized LaEr2Cu3 structure (PBE-GGA).

a b c (Å): 3.482 3.482 10.638
angles (deg): 90.00 90.00 90.00
Space group P4/mmm (No. 123)
Inequivalent atoms, fractional coordinates:
La (0.000, 0.000, 0.000) x1
Er (0.000, 0.000, 0.340) x2
Cu (0.500, 0.500, 0.191) x2
Cu (0.500, 0.500, 0.500) x1

For the volume, the calculation gives 21.50 Å³/atom. For the formation energy from the elements, the calculation gives -0.231 eV/atom. Its magnetization is 0.00 μB/atom.



# 8
Entry from the Alexandria database: a geometry-optimized PaTlIn2I8 structure (PBE-GGA).

a b c (Å): 7.542 8.206 9.913
angles (deg): 90.08 90.11 90.01
Space group P-1 (No. 2)
Inequivalent atoms, fractional coordinates:
Pa (0.000, 0.000, 0.000) x1
Tl (0.000, 0.000, 0.500) x1
In (0.500, 0.500, 0.267) x2
I (0.207, 0.697, 0.000) x2
I (0.236, 0.135, 0.213) x2
I (0.236, 0.136, 0.788) x2
I (0.272, 0.662, 0.500) x2

As for the formation energy from raw total energies: -0.716 eV per atom. For the volume, the calculation gives 51.12 Å³/atom. Its magnetization is 0.00 μB/atom.



# 9
Entry from the Alexandria database: a geometry-optimized Sm4AsI5 structure (PBE-GGA).

a b c (Å): 19.361 4.255 8.947
angles (deg): 90.00 102.62 90.00
Space group C2/m (No. 12)
Inequivalent atoms, fractional coordinates:
Sm (0.000, 0.000, 0.212) x4
Sm (0.147, 0.500, 0.073) x4
As (0.000, 0.500, 0.000) x2
I (0.000, 0.500, 0.500) x2
I (0.166, 0.000, 0.337) x4
I (0.171, 0.000, 0.824) x4

As for the formation energy from raw total energies: -1.333 eV per atom. For the volume, the calculation gives 35.96 Å³/atom. Its magnetization is 0.00 μB/atom.



# 10
Entry from the Alexandria database: a geometry-optimized Zr2PC structure (PBE-GGA).

a b c (Å): 6.247 6.247 6.247
angles (deg): 90.00 90.00 90.00
Space group Fm-3m (No. 225)
Inequivalent atoms, fractional coordinates:
Zr (0.250, 0.250, 0.250) x8
P (0.000, 0.000, 0.000) x4
C (0.000, 0.000, 0.500) x4

For the volume, the calculation gives 15.24 Å³/atom. For the formation energy from the elements, the calculation gives -0.077 eV/atom. Its magnetization is 0.00 μB/atom.



# 11
Entry from the Alexandria database: a geometry-optimized ZrTlCuS3 structure (PBE-GGA).

a b c (Å): 3.748 14.432 9.831
angles (deg): 90.00 90.00 90.00
Space group Cmcm (No. 63)
Inequivalent atoms, fractional coordinates:
Zr (0.000, 0.000, 0.000) x4
Tl (0.000, 0.254, 0.250) x4
Cu (0.000, 0.465, 0.750) x4
S (0.000, 0.063, 0.750) x4
S (0.000, 0.380, 0.553) x8

As for the formation energy from raw total energies: -0.989 eV per atom. For the volume, the calculation gives 22.16 Å³/atom. Its magnetization is 0.00 μB/atom.



# 12
Entry from the Alexandria database: a geometry-optimized LaCuAs structure (PBE-GGA).

a b c (Å): 6.486 6.486 6.486
angles (deg): 90.00 90.00 90.00
Space group F-43m (No. 216)
Inequivalent atoms, fractional coordinates:
La (0.000, 0.000, 0.000) x4
Cu (0.250, 0.250, 0.750) x4
As (0.000, 0.000, 0.500) x4

For the volume, the calculation gives 22.74 Å³/atom. For the formation energy from the elements, the calculation gives -0.660 eV/atom. Its magnetization is 0.00 μB/atom.